This record from Alexandria describes a geometry-optimized ThSn2P2Pt7 structure. The functional is PBE.

```
data_ThSn2P2Pt7
_symmetry_space_group_name_H-M 'P 1'
_symmetry_Int_Tables_number 1
_cell_length_a 3.9965
_cell_length_b 3.9965
_cell_length_c 15.4515
_cell_angle_alpha 82.63
_cell_angle_beta 82.63
_cell_angle_gamma 90.01
loop_
_symmetry_equiv_pos_as_xyz
'x,y,z'
loop_
_atom_site_label
_atom_site_type_symbol
_atom_site_fract_x
_atom_site_fract_y
_atom_site_fract_z
_atom_site_occupancy
Pt1 Pt 0.5766 0.0764 0.8464 1
Pt2 Pt 0.6938 0.6938 0.6094 1
Pt3 Pt 0.9236 0.4234 0.1536 1
Pt4 Pt 0.3062 0.3062 0.3906 1
Pt5 Pt 0.5000 0.5000 0.0000 1
Pt6 Pt 0.4234 0.9236 0.1536 1
Pt7 Pt 0.0764 0.5766 0.8464 1
P1 P 0.6190 0.6190 0.7601 1
P2 P 0.3810 0.3810 0.2399 1
Th1 Th 0.0000 0.0000 0.0000 1
Sn1 Sn 0.7876 0.7876 0.4264 1
Sn2 Sn 0.2124 0.2124 0.5736 1
```

Values from the calculation:
- Space group: C2/m
- Uncorrected energy: -6.37 eV/atom
- ρ: 12.98 g/cm³